Ca3Hf2TiAs6 after structural relaxation. Source: the Alexandria database, functional PBE.

Lattice parameters (Å, degrees): 6.773 6.773 7.148 99.08 99.08 119.99
Fractional coordinates of all 12 atoms:
1 Ca 0.169 0.831 0.500
2 Ca 0.831 0.169 0.500
3 Ca 0.500 0.500 0.500
4 As 0.073 0.399 0.220
5 As 0.601 0.927 0.780
6 As 0.252 0.252 0.779
7 As 0.399 0.073 0.220
8 As 0.927 0.601 0.780
9 As 0.748 0.748 0.221
10 Hf 0.334 0.666 0.000
11 Hf 0.666 0.334 0.000
12 Ti 0.000 0.000 0.000

Crystal system ... monoclinic
SG ... C2/m (12)

---

NaAl2Au2 after structural relaxation. Source: the Alexandria database, functional PBE.

Lattice parameters (Å, degrees): 4.725 4.725 5.825 66.07 66.07 90.00
Fractional coordinates of all 5 atoms:
1 Al 0.640 0.640 0.720
2 Al 0.360 0.360 0.280
3 Na 0.000 0.000 0.000
4 Au 0.750 0.250 0.500
5 Au 0.250 0.750 0.500

Crystal system ... tetragonal
SG ... I4/mmm (139)

---

LiDyInRu after structural relaxation. Source: the Alexandria database, functional PBE.

Lattice parameters (Å, degrees): 4.754 4.754 4.754 60.00 60.00 60.00
Fractional coordinates of all 4 atoms:
1 Ru 0.000 0.000 0.000
2 Dy 0.250 0.250 0.250
3 Li 0.500 0.500 0.500
4 In 0.750 0.750 0.750

Crystal system ... cubic
SG ... F-43m (216)

---

Ca2LaLu after structural relaxation. Source: the Alexandria database, functional PBE.

Lattice parameters (Å, degrees): 3.593 3.593 13.378 82.28 82.28 60.00
Fractional coordinates of all 4 atoms:
1 Ca 0.090 0.090 0.729
2 Ca 0.910 0.910 0.271
3 Lu 0.500 0.500 0.500
4 La 0.000 0.000 0.000

Crystal system ... trigonal
SG ... R-3m (166)

---

BeRe2Mo after structural relaxation. Source: the Alexandria database, functional PBE.

Lattice parameters (Å, degrees): 3.112 3.112 5.687 90.00 90.00 90.00
Fractional coordinates of all 4 atoms:
1 Re 0.000 0.000 0.474
2 Re 0.000 0.000 0.026
3 Mo 0.500 0.500 0.750
4 Be 0.500 0.500 0.250

Crystal system ... tetragonal
SG ... P4/mmm (123)

---

LaGePdC2 after structural relaxation. Source: the Alexandria database, functional PBE.

Lattice parameters (Å, degrees): 4.541 5.382 4.541 90.00 90.00 90.00
Fractional coordinates of all 5 atoms:
1 C 0.000 0.000 0.500
2 C 0.500 0.000 0.000
3 Pd 0.000 0.500 0.000
4 Ge 0.500 0.500 0.500
5 La 0.000 0.000 0.000

Crystal system ... tetragonal
SG ... P4/mmm (123)

---

Result set for E: -0.2291, -0.1237, -0.1804, -0.1160, -0.3603, -0.1675 Ha/atom, one per record in the order listed.